## CeHg2Au9 (PBE)

Data for CeHg2Au9 after structural relaxation.

V   253.82 Å³/cell
ΔH_f (0 K)   -0.170 eV per atom
Total DFT energy (no corrections)   -3.173 eV per atom

POSCAR file:
```
CeHg2Au9
1.0
5.622 0.224 1.479
2.768 4.912 1.476
-0.130 -0.032 9.365
Au Hg Ce
9 2 1
Direct
0.943 0.423 0.275
0.500 0.500 0.500
0.691 0.689 0.999
0.550 0.065 0.728
0.057 0.577 0.725
0.439 0.450 0.222
0.450 0.935 0.272
0.561 0.550 0.778
0.309 0.311 0.001
0.888 0.879 0.413
0.112 0.121 0.587
0.000 0.000 0.000
```

## Tl3PdBr6 (PBE)

Data for Tl3PdBr6 after structural relaxation.

V   721.20 Å³/cell
Total DFT energy (no corrections)   -2.804 eV per atom

POSCAR file:
```
Tl3PdBr6
1.0
-4.783 5.754 2.112
-6.738 -6.521 2.506
2.394 -1.422 9.298
Br Tl Pd
12 6 2
Direct
0.272 0.598 0.685
0.272 0.315 0.402
0.001 0.990 0.676
0.772 0.685 0.598
0.772 0.402 0.315
0.501 0.010 0.324
0.501 0.676 0.990
0.693 0.219 0.781
0.782 0.921 0.079
0.001 0.324 0.010
0.193 0.781 0.219
0.282 0.079 0.921
0.557 0.439 0.561
0.955 0.683 0.908
0.455 0.317 0.092
0.455 0.908 0.683
0.057 0.561 0.439
0.955 0.092 0.317
0.997 0.160 0.840
0.497 0.840 0.160
```

## Pa12Si6Ge (PBE)

Data for Pa12Si6Ge after structural relaxation.

V   418.77 Å³/cell
Total DFT energy (no corrections)   -8.197 eV per atom

POSCAR file:
```
Pa12Si6Ge
1.0
-4.844 6.237 2.070
-0.672 -1.425 -8.010
-2.229 -6.669 4.146
Si Pa Ge
6 12 1
Direct
0.621 0.500 0.121
0.121 0.621 0.500
0.500 0.121 0.621
0.879 0.379 0.500
0.379 0.500 0.879
0.500 0.879 0.379
0.795 0.263 0.058
0.263 0.469 0.205
0.737 0.942 0.205
0.469 0.205 0.263
0.795 0.737 0.531
0.058 0.795 0.263
0.737 0.531 0.795
0.205 0.263 0.469
0.531 0.795 0.737
0.942 0.205 0.737
0.263 0.058 0.795
0.205 0.737 0.942
0.000 0.000 0.000
```

Copy entry 2 word for word.
## Tl3PdBr6 (PBE)

Data for Tl3PdBr6 after structural relaxation.

V   721.20 Å³/cell
Total DFT energy (no corrections)   -2.804 eV per atom

POSCAR file:
```
Tl3PdBr6
1.0
-4.783 5.754 2.112
-6.738 -6.521 2.506
2.394 -1.422 9.298
Br Tl Pd
12 6 2
Direct
0.272 0.598 0.685
0.272 0.315 0.402
0.001 0.990 0.676
0.772 0.685 0.598
0.772 0.402 0.315
0.501 0.010 0.324
0.501 0.676 0.990
0.693 0.219 0.781
0.782 0.921 0.079
0.001 0.324 0.010
0.193 0.781 0.219
0.282 0.079 0.921
0.557 0.439 0.561
0.955 0.683 0.908
0.455 0.317 0.092
0.455 0.908 0.683
0.057 0.561 0.439
0.955 0.092 0.317
0.997 0.160 0.840
0.497 0.840 0.160
```

- Which of these has the highest total DFT energy (no corrections)?
  Tl3PdBr6